# 1
Below is a relaxed structure of TcOs2Au, with properties calculated at the PBE level.

Energy above the lowest structure with this stoichiometry ... 0.3520 eV per atom
E_form ... 0.596 eV per atom

The structure in extended XYZ format:
```
4
Lattice="1.400 -2.327 0.000 1.400 2.327 0.000 0.000 0.000 9.612" Properties=species:S:1:pos:R:3 pbc="T T T"
Tc 0.000 0.000 0.000
Os 0.000 0.000 5.115
Os 1.400 0.000 7.383
Au 1.400 0.000 2.547
```

---

# 2
Below is a relaxed structure of Sm4Sb3As, with properties calculated at the PBE level.

Formation energy (no corrections) ... -9.965 eV per formula unit

The structure in extended XYZ format:
```
8
Lattice="4.417 -6.236 0.000 4.417 6.236 0.000 0.000 0.000 4.403" Properties=species:S:1:pos:R:3 pbc="T T T"
Sm 2.111 0.000 2.201
Sm 4.417 3.190 0.000
Sm 4.417 -3.190 0.000
Sm 6.724 0.000 2.201
Sb 2.209 3.118 2.201
Sb 2.209 -3.118 2.201
Sb 4.417 0.000 0.000
As 0.000 0.000 0.000
```

---

# 3
Below is a relaxed structure of AlTlGaHg2, with properties calculated at the PBE level.

E_form ... 0.158 eV per atom

The structure in extended XYZ format:
```
5
Lattice="5.299 0.000 0.000 0.000 5.299 0.000 0.000 0.000 5.028" Properties=species:S:1:pos:R:3 pbc="T T T"
Al 0.000 0.000 0.000
Tl 2.650 2.650 2.514
Ga 0.000 0.000 2.514
Hg 0.000 2.650 0.000
Hg 2.650 0.000 0.000
```

---

# 4
Below is a relaxed structure of BaScW2, with properties calculated at the PBE level.

Energy above the lowest structure with this stoichiometry ... 0.0000 eV per atom
E_form ... 0.510 eV per atom

The structure in extended XYZ format:
```
4
Lattice="3.310 0.000 0.000 0.000 3.310 0.000 0.000 0.000 8.950" Properties=species:S:1:pos:R:3 pbc="T T T"
Ba 0.000 0.000 0.000
Sc 1.655 1.655 3.313
W 0.000 0.000 5.054
W 1.655 1.655 6.325
```

---

# 5
Below is a relaxed structure of PmNb4O8, with properties calculated at the PBE level.

Formation energy (no corrections) ... -30.762 eV per formula unit

The structure in extended XYZ format:
```
13
Lattice="2.988 1.725 5.977 -2.988 1.725 5.977 0.000 -3.451 5.977" Properties=species:S:1:pos:R:3 pbc="T T T"
Pm 0.000 0.000 0.000
Nb -2.988 0.000 8.965
Nb -1.494 0.863 2.988
Nb 1.494 0.863 2.988
Nb 0.000 0.000 8.965
O 0.000 0.000 4.170
O -1.513 -0.874 10.290
O 0.000 -1.747 7.640
O -1.513 0.874 7.640
O 1.513 -0.874 10.290
O 0.000 1.747 10.290
O 1.513 0.874 7.640
O 0.000 0.000 13.760
```

---

# 6
Below is a relaxed structure of PrEr2PaSb4, with properties calculated at the PBE level.

Formation energy (no corrections) ... -7.573 eV per formula unit

The structure in extended XYZ format:
```
8
Lattice="7.605 0.000 0.000 0.000 4.403 0.000 -2.536 0.000 7.223" Properties=species:S:1:pos:R:3 pbc="T T T"
Pr 0.000 0.000 0.000
Er 2.535 0.000 3.612
Er 3.803 2.201 0.000
Pa -1.268 2.201 3.612
Sb 0.054 0.000 5.396
Sb 1.310 2.201 1.874
Sb 3.759 2.201 5.349
Sb 5.016 0.000 1.827
```

---

# 7
Below is a relaxed structure of Hf5PaP4, with properties calculated at the PBE level.

E_form ... -0.896 eV per atom

The structure in extended XYZ format:
```
10
Lattice="7.968 -1.825 0.000 7.968 1.825 0.000 -2.328 0.000 7.111" Properties=species:S:1:pos:R:3 pbc="T T T"
Hf 0.000 0.000 0.000
Hf 4.645 0.000 1.128
Hf 3.899 0.000 4.723
Hf 9.710 0.000 2.388
Hf 8.964 0.000 5.982
Pa -1.164 0.000 3.555
P 1.431 0.000 4.211
P 7.209 0.000 1.594
P 6.400 0.000 5.516
P 12.178 0.000 2.900
```

---

# 8
Below is a relaxed structure of Dy3Ga6Au5, with properties calculated at the PBE level.

E_form ... -0.617 eV per atom

The structure in extended XYZ format:
```
28
Lattice="4.365 0.000 0.000 0.000 12.903 0.000 0.000 0.000 9.716" Properties=species:S:1:pos:R:3 pbc="T T T"
Dy 1.091 0.659 2.411
Dy 1.091 5.792 2.411
Dy 1.091 9.677 2.422
Dy 3.274 3.226 7.293
Dy 3.274 7.111 7.305
Dy 3.274 12.244 7.305
Ga 1.091 1.071 8.605
Ga 1.091 3.226 0.534
Ga 1.091 3.226 4.277
Ga 1.091 5.380 8.605
Ga 1.091 7.737 5.131
Ga 1.091 11.617 5.131
Ga 3.274 1.286 4.585
Ga 3.274 5.165 4.585
Ga 3.274 7.522 1.110
Ga 3.274 9.677 5.439
Ga 3.274 9.677 9.181
Ga 3.274 11.832 1.110
Au 1.091 1.275 6.048
Au 1.091 5.177 6.048
Au 1.091 7.931 9.471
Au 1.091 9.677 7.101
Au 1.091 11.423 9.471
Au 3.274 1.480 0.244
Au 3.274 3.226 2.614
Au 3.274 4.972 0.244
Au 3.274 7.726 3.668
Au 3.274 11.628 3.668
```

---

# 9
Below is a relaxed structure of CuTeSe2, with properties calculated at the PBE level.

Formation energy (no corrections) ... 1.004 eV per formula unit

The structure in extended XYZ format:
```
4
Lattice="-1.821 1.834 9.014 1.821 -1.834 9.014 1.821 1.834 -9.014" Properties=species:S:1:pos:R:3 pbc="T T T"
Cu 0.000 0.000 0.000
Te 0.000 0.000 9.014
Se 1.821 0.000 4.142
Se 0.000 1.834 4.873
```

---

# 10
Below is a relaxed structure of Ti5Nb5W2, with properties calculated at the PBE level.

E_form ... 0.002 eV per atom

The structure in extended XYZ format:
```
12
Lattice="4.882 -2.295 0.000 4.882 2.295 0.000 -3.385 0.000 9.270" Properties=species:S:1:pos:R:3 pbc="T T T"
Ti 0.000 0.000 0.000
Ti -1.678 0.000 7.040
Ti -0.129 0.000 4.654
Ti 6.507 0.000 4.616
Ti 8.056 0.000 2.230
Nb 1.580 0.000 2.323
Nb 1.481 0.000 7.052
Nb 3.189 0.000 4.635
Nb 4.897 0.000 2.218
Nb 4.799 0.000 6.947
W 3.194 0.000 0.045
W 3.184 0.000 9.225
```

---

# 11
Below is a relaxed structure of BaYMg, with properties calculated at the PBE level.

Energy above the lowest structure with this stoichiometry ... 0.1146 eV per atom
E_form ... 0.181 eV per atom

The structure in extended XYZ format:
```
3
Lattice="3.787 0.000 0.000 -1.894 3.280 0.000 0.000 0.000 8.905" Properties=species:S:1:pos:R:3 pbc="T T T"
Ba 0.000 0.000 0.000
Y 1.894 1.093 5.530
Mg 0.000 2.187 3.018
```

---

# 12
Below is a relaxed structure of ScAsSe2, with properties calculated at the PBE level.

Formation energy (no corrections) ... -2.110 eV per formula unit

The structure in extended XYZ format:
```
4
Lattice="4.789 0.000 0.000 0.000 4.789 0.000 0.000 0.000 3.465" Properties=species:S:1:pos:R:3 pbc="T T T"
Sc 0.000 0.000 0.000
As 2.394 2.394 0.000
Se 0.000 2.394 1.733
Se 2.394 0.000 1.733
```

---

no.,spin magnetization (μB/f.u.)
1,0.00
2,0.00
3,0.00
4,0.00
5,0.00
6,0.93
7,0.00
8,0.00
9,0.13
10,0.00
11,0.00
12,0.00